This record from Alexandria via LeMat-Bulk describes a relaxed ZrTa2Sb crystal. The functional is GGA-PBE.

Properties
The value obtained for the formation energy without anion corrections is 29.2 meV/atom. Its symmetry is P2/m. The value obtained for the density of states at the Fermi level is 3.3 states/eV per cell. As for the density: 11.713 g/cm3. As for the magnetization: 0.000 μB/f.u. The total DFT energy (no corrections) comes out at -9.0647 eV/atom.

Cell: 3.086 5.015 5.279 Å, 90.00 93.96 90.00°
Sites, in units of the cell vectors:
1 Zr 0.000 0.000 0.000
2 Ta 0.289 0.500 0.767
3 Ta 0.711 0.500 0.233
4 Sb 0.500 0.000 0.500